(1)
# K2TlMo

Crystalline K2TlMo at its relaxed geometry (PBEsol, Alexandria via LeMat-Bulk).

```
data_K2TlMo
_chemical_formula_sum 'K6 Tl3 Mo3'
_space_group_name_H-M_alt 'R 3 m'
_space_group_IT_number 160
_space_group_name_Hall 'R 3 -2"'
_cell_length_a 3.2160
_cell_length_b 3.2160
_cell_length_c 36.9228
_cell_angle_alpha 90.00
_cell_angle_beta 90.00
_cell_angle_gamma 120.00
loop_
_atom_site_label
_atom_site_type_symbol
_atom_site_fract_x
_atom_site_fract_y
_atom_site_fract_z
K1 K 0.0000 0.0000 0.0000
K2 K 0.0000 0.0000 0.2209
Tl1 Tl 0.0000 0.0000 0.7459
Mo1 Mo 0.0000 0.0000 0.4755
```

Total magnetization (μB per atom): 0.0001
Distance to the lowest polymorph of the same formula (meV per atom): 75.4
Crystal system: trigonal
E_form (eV/f.u.): 3.9

---

(2)
# KSn2Rh2

Crystalline KSn2Rh2 at its relaxed geometry (PBEsol, Alexandria via LeMat-Bulk).

```
data_KSn2Rh2
_chemical_formula_sum 'K2 Sn4 Rh4'
_space_group_name_H-M_alt 'I 4/m m m'
_space_group_IT_number 139
_space_group_name_Hall '-I 4 2'
_cell_length_a 4.361
_cell_length_b 4.361
_cell_length_c 11.783
_cell_angle_alpha 90.00
_cell_angle_beta 90.00
_cell_angle_gamma 90.00
loop_
_atom_site_label
_atom_site_type_symbol
_atom_site_fract_x
_atom_site_fract_y
_atom_site_fract_z
K1 K 0.000 0.000 0.000
Sn1 Sn 0.000 0.000 0.368
Rh1 Rh 0.000 0.500 0.250
```

Total magnetization (μB per atom): 0.0001
Crystal system: tetragonal
E_form (eV/f.u.): -1.5

---

(3)
# Bi2SbP2

Crystalline Bi2SbP2 at its relaxed geometry (PBEsol, Alexandria via LeMat-Bulk).

```
data_Bi2SbP2
_chemical_formula_sum 'Bi4 Sb2 P4'
_space_group_name_H-M_alt 'P 4/m b m'
_space_group_IT_number 127
_space_group_name_Hall '-P 4 2ab'
_cell_length_a 7.916
_cell_length_b 7.916
_cell_length_c 3.781
_cell_angle_alpha 90.00
_cell_angle_beta 90.00
_cell_angle_gamma 90.00
loop_
_atom_site_label
_atom_site_type_symbol
_atom_site_fract_x
_atom_site_fract_y
_atom_site_fract_z
Bi1 Bi 0.155 0.345 0.000
Sb1 Sb 0.000 0.000 0.500
P1 P 0.165 0.665 0.500
```

Total magnetization (μB per atom): 0.0000
Crystal system: tetragonal
Uncorrected formation energy (kcal/mol of atoms): 6.251

---

(4)
# AlGaW3

Crystalline AlGaW3 at its relaxed geometry (PBEsol, Alexandria via LeMat-Bulk).

```
data_AlGaW3
_chemical_formula_sum 'Al1 Ga1 W3'
_space_group_name_H-M_alt 'P m -3 m'
_space_group_IT_number 221
_space_group_name_Hall '-P 4 2 3'
_cell_length_a 4.497
_cell_length_b 4.497
_cell_length_c 4.497
_cell_angle_alpha 90.00
_cell_angle_beta 90.00
_cell_angle_gamma 90.00
loop_
_atom_site_label
_atom_site_type_symbol
_atom_site_fract_x
_atom_site_fract_y
_atom_site_fract_z
Al1 Al 0.000 0.000 0.000
Ga1 Ga 0.500 0.500 0.500
W1 W 0.000 0.000 0.500
```

Total magnetization (μB per atom): 0.0001
Crystal system: cubic
E_form (eV/f.u.): 9.8

---

(5)
# TlAu2

Crystalline TlAu2 at its relaxed geometry (PBEsol, Alexandria via LeMat-Bulk).

```
data_TlAu2
_chemical_formula_sum 'Tl4 Au8'
_space_group_name_H-M_alt 'I 41/a m d'
_space_group_IT_number 141
_cell_length_a 3.747
_cell_length_b 3.747
_cell_length_c 18.764
_cell_angle_alpha 90.00
_cell_angle_beta 90.00
_cell_angle_gamma 90.00
loop_
_space_group_symop_operation_xyz
'x,y,z'
'-x,-y,-z'
'-y+1/4,x+3/4,z+1/4'
'y+1/4,-x+3/4,-z+1/4'
'-x+1/2,-y,z+1/2'
'x+1/2,y,-z+1/2'
'y+1/4,-x+1/4,z+3/4'
'-y+1/4,x+1/4,-z+3/4'
'x,-y,-z'
'-x,y,z'
'-y+1/4,-x+1/4,-z+3/4'
'y+1/4,x+1/4,z+3/4'
'-x+1/2,y,-z+1/2'
'x+1/2,-y,z+1/2'
'y+1/4,x+3/4,-z+1/4'
'-y+1/4,-x+3/4,z+1/4'
'x+1/2,y+1/2,z+1/2'
'-x+1/2,-y+1/2,-z+1/2'
'-y+3/4,x+1/4,z+3/4'
'y+3/4,-x+1/4,-z+3/4'
'-x,-y+1/2,z'
'x,y+1/2,-z'
'y+3/4,-x+3/4,z+1/4'
'-y+3/4,x+3/4,-z+1/4'
'x+1/2,-y+1/2,-z+1/2'
'-x+1/2,y+1/2,z+1/2'
'-y+3/4,-x+3/4,-z+1/4'
'y+3/4,x+3/4,z+1/4'
'-x,y+1/2,-z'
'x,-y+1/2,z'
'y+3/4,x+1/4,-z+3/4'
'-y+3/4,-x+1/4,z+3/4'
loop_
_atom_site_label
_atom_site_type_symbol
_atom_site_fract_x
_atom_site_fract_y
_atom_site_fract_z
Tl1 Tl 0.000 0.250 0.375
Au1 Au 0.000 0.250 0.801
```

Total magnetization (μB per atom): 0.0000
Distance to the lowest polymorph of the same formula (meV per atom): 128.5
Crystal system: tetragonal
E_form (eV/f.u.): 0.4

---

(6)
# YAs2W

Crystalline YAs2W at its relaxed geometry (PBEsol, Alexandria via LeMat-Bulk).

```
data_YAs2W
_chemical_formula_sum 'Y3 As6 W3'
_space_group_name_H-M_alt 'R 3 m'
_space_group_IT_number 160
_space_group_name_Hall 'R 3 -2"'
_cell_length_a 3.2445
_cell_length_b 3.2445
_cell_length_c 25.9007
_cell_angle_alpha 90.00
_cell_angle_beta 90.00
_cell_angle_gamma 120.00
loop_
_atom_site_label
_atom_site_type_symbol
_atom_site_fract_x
_atom_site_fract_y
_atom_site_fract_z
Y1 Y 0.0000 0.0000 0.0000
As1 As 0.0000 0.0000 0.5095
As2 As 0.0000 0.0000 0.7557
W1 W 0.0000 0.0000 0.2415
```

Total magnetization (μB per atom): 0.0001
Distance to the lowest polymorph of the same formula (meV per atom): 352.3
Crystal system: trigonal
E_form (eV/f.u.): 0.6

---

(7)
# MnTlHg2

Crystalline MnTlHg2 at its relaxed geometry (PBEsol, Alexandria via LeMat-Bulk).

```
data_MnTlHg2
_chemical_formula_sum 'Mn3 Tl3 Hg6'
_space_group_name_H-M_alt 'R -3 m'
_space_group_IT_number 166
_space_group_name_Hall '-R 3 2"'
_cell_length_a 3.2559
_cell_length_b 3.2559
_cell_length_c 28.0906
_cell_angle_alpha 90.00
_cell_angle_beta 90.00
_cell_angle_gamma 120.00
loop_
_atom_site_label
_atom_site_type_symbol
_atom_site_fract_x
_atom_site_fract_y
_atom_site_fract_z
Mn1 Mn 0.0000 0.0000 0.0000
Tl1 Tl 0.0000 0.0000 0.5000
Hg1 Hg 0.0000 0.0000 0.2610
```

Total magnetization (μB per atom): 0.9598
Crystal system: trigonal
E_form (eV/f.u.): 1.1

---

(8)
# OsOF2

Crystalline OsOF2 at its relaxed geometry (PBEsol, Alexandria via LeMat-Bulk).

```
data_OsOF2
_chemical_formula_sum 'Os3 O3 F6'
_space_group_name_H-M_alt 'R -3 m'
_space_group_IT_number 166
_space_group_name_Hall '-R 3 2"'
_cell_length_a 2.6057
_cell_length_b 2.6057
_cell_length_c 24.5648
_cell_angle_alpha 90.00
_cell_angle_beta 90.00
_cell_angle_gamma 120.00
loop_
_atom_site_label
_atom_site_type_symbol
_atom_site_fract_x
_atom_site_fract_y
_atom_site_fract_z
Os1 Os 0.0000 0.0000 0.0000
O1 O 0.0000 0.0000 0.5000
F1 F 0.0000 0.0000 0.4048
```

Total magnetization (μB per atom): 0.4633
Distance to the lowest polymorph of the same formula (meV per atom): 20.4
Crystal system: trigonal
Uncorrected formation energy (kcal/mol of atoms): 12.211